{"formula": "NaHg3F7", "functional": "GGA-PBE", "state": "relaxed", "raw_formation_energy_kj_per_mol_atoms": -158.5, "dft_energy_ev_per_atom": -3.035, "space_group": "No. 12", "vol_a3_per_atom": 16.18, "cell": [[-4.393, -0.496, 5.055], [-0.768, -3.915, -4.046], [5.142, -2.055, 1.273]], "species": ["Na", "Hg", "Hg", "Hg", "F", "F", "F", "F", "F", "F", "F"], "frac_coords": [[0.500, 0.500, 0.500], [0.000, 0.775, 0.225], [0.500, 0.000, 0.000], [0.000, 0.225, 0.775], [0.277, 0.150, 0.150], [0.255, 0.108, 0.637], [0.745, 0.363, 0.892], [0.255, 0.637, 0.108], [0.000, 0.500, 0.500], [0.745, 0.892, 0.363], [0.723, 0.850, 0.850]]}